Density functional theory data (GGA-PBE) for an optimized crystal structure of Mg7Ga.

The density of states at the Fermi level comes out at 21.820 states/eV per cell. For the formation energy, the calculation gives -0.011 eV per atom.

The space group is Fm-3m (No. 225) and the conventional cell measures 8.897, 8.897 and 8.897 Å, with angles of 90.00, 90.00 and 90.00 degrees. The asymmetric unit holds Mg at (0.000, 0.000, 0.000), Mg at (0.000, 0.250, 0.250) and Ga at (0.000, 0.000, 0.500).